# 1
Here is a relaxed structure of PuScRuO6 from Alexandria via LeMat-Bulk. Energies are from PBE-GGA.

Cell lengths 5.3953, 5.3953, 8.6960 Å; angles 90.00, 90.00, 120.00 degrees
Last column: nearest neighbours and their distance in Å.
Positions (direct):
1 Pu 0.6667 0.3333 0.2500  6 O 2.12
2 Pu 0.3333 0.6667 0.7500  6 O 2.12
3 Sc 0.3333 0.6667 0.2500  6 O 2.13
4 Sc 0.6667 0.3333 0.7500  6 O 2.13
5 Ru 0.0000 0.0000 0.0000  6 O 2.05
6 Ru 0.0000 0.0000 0.5000  6 O 2.05
7 O 0.6796 0.6782 0.1255  1 Ru 2.05, 1 Pu 2.12, 1 Sc 2.13
8 O 0.9987 0.3204 0.1255  1 Ru 2.05, 1 Pu 2.12, 1 Sc 2.13
9 O 0.3204 0.9987 0.6255  1 Ru 2.05, 1 Pu 2.12, 1 Sc 2.13
10 O 0.0013 0.6796 0.8745  1 Ru 2.05, 1 Pu 2.12, 1 Sc 2.13
11 O 0.3218 0.3204 0.3745  1 Ru 2.05, 1 Pu 2.12, 1 Sc 2.13
12 O 0.9987 0.6782 0.3745  1 Ru 2.05, 1 Pu 2.12, 1 Sc 2.13
13 O 0.6782 0.9987 0.8745  1 Ru 2.05, 1 Pu 2.12, 1 Sc 2.13
14 O 0.6796 0.0013 0.3745  1 Ru 2.05, 1 Pu 2.12, 1 Sc 2.13
15 O 0.0013 0.3218 0.6255  1 Ru 2.05, 1 Pu 2.12, 1 Sc 2.13
16 O 0.3218 0.0013 0.1255  1 Ru 2.05, 1 Pu 2.12, 1 Sc 2.13
17 O 0.6782 0.6796 0.6255  1 Ru 2.05, 1 Pu 2.12, 1 Sc 2.13
18 O 0.3204 0.3218 0.8745  1 Ru 2.05, 1 Pu 2.12, 1 Sc 2.13

- V (Å³ per cell) = 219
- ΔE_f (raw) (meV/atom) = -2191.7
- space-group type = P-31c (163)

# 2
Here is a relaxed structure of SrLiY2Ru from Alexandria via LeMat-Bulk. Energies are from PBE-GGA.

Cell lengths 5.5289, 4.2009, 5.5289 Å; angles 90.00, 90.00, 90.00 degrees
Last column: nearest neighbours and their distance in Å.
Positions (direct):
1 Y 0.0000 0.0000 0.5000  2 Sr 2.76
2 Y 0.5000 0.0000 0.0000  2 Sr 2.76
3 Ru 0.5000 0.5000 0.5000  8 Y 3.47
4 Li 0.0000 0.5000 0.0000  2 Sr 2.10
5 Sr 0.0000 0.0000 0.0000  2 Li 2.10

- V (Å³ per cell) = 128
- space-group type = P4/mmm (123)
- formation enthalpy at 0 K (eV/f.u.) = 7.88
- polymorph energy (0 for the lowest one) (meV per atom) = 1536

# 3
Here is a relaxed structure of TlHg15 from Alexandria via LeMat-Bulk. Energies are from PBE-GGA.

Cell lengths 6.9184, 6.9184, 11.0059 Å; angles 90.00, 90.00, 120.00 degrees
Last column: nearest neighbours and their distance in Å.
Positions (direct):
1 Tl 0.0000 0.0000 0.0000  12 Hg 3.45-3.46
2 Hg 0.0000 0.0000 0.5000  12 Hg 3.38-3.46
3 Hg 0.0000 0.5000 0.0000  10 Hg 3.39-3.46, 2 Tl 3.46
4 Hg 0.0023 0.5012 0.5000  12 Hg 3.36-3.48
5 Hg 0.5000 0.0000 0.0000  10 Hg 3.39-3.46, 2 Tl 3.46
6 Hg 0.4988 0.9977 0.5000  12 Hg 3.36-3.48
7 Hg 0.5000 0.5000 0.0000  10 Hg 3.39-3.46, 2 Tl 3.46
8 Hg 0.4988 0.5012 0.5000  12 Hg 3.36-3.48
9 Hg 0.8316 0.1684 0.2540  11 Hg 3.36-3.50, 1 Tl 3.45
10 Hg 0.8316 0.1684 0.7460  11 Hg 3.36-3.50, 1 Tl 3.45
11 Hg 0.8316 0.6631 0.2540  11 Hg 3.36-3.50, 1 Tl 3.45
12 Hg 0.8316 0.6631 0.7460  11 Hg 3.36-3.50, 1 Tl 3.45
13 Hg 0.3369 0.1684 0.2540  11 Hg 3.36-3.50, 1 Tl 3.45
14 Hg 0.3369 0.1684 0.7460  11 Hg 3.36-3.50, 1 Tl 3.45
15 Hg 0.3333 0.6667 0.2494  12 Hg 3.39-3.46
16 Hg 0.3333 0.6667 0.7506  12 Hg 3.39-3.46

- V (Å³ per cell) = 456
- space-group type = P-6m2 (187)
- formation enthalpy at 0 K (eV/f.u.) = -0.21

# 4
Here is a relaxed structure of Cd5In5Bi2 from Alexandria via LeMat-Bulk. Energies are from PBE-GGA.

Cell lengths 5.3692, 8.2815, 9.0383 Å; angles 107.46, 72.72, 71.08 degrees
Last column: nearest neighbours and their distance in Å.
Positions (direct):
1 Cd 0.6977 0.2259 0.3788  1 Cd 2.96, 2 Bi 3.12-3.26, 4 In 3.13-3.31
2 Cd 0.9780 0.2462 0.7978  2 Cd 3.12-3.32, 3 Bi 3.22-3.35, 3 In 3.28-3.32
3 Cd 0.0220 0.7538 0.2022  2 Cd 3.12-3.32, 3 Bi 3.22-3.35, 3 In 3.28-3.32
4 Cd 0.3023 0.7741 0.6212  1 Cd 2.96, 2 Bi 3.12-3.26, 4 In 3.13-3.31
5 Cd 0.0000 0.0000 0.0000  4 Cd 2.96-3.12, 4 In 3.22
6 In 0.0000 0.5000 0.5000  4 Cd 3.31, 4 In 3.39-3.43, 4 Bi 3.70
7 In 0.6565 0.7521 0.9349  4 Cd 3.22-3.54, 3 Bi 3.38-3.56, 3 In 3.39-3.54
8 In 0.3023 0.0194 0.3760  6 Cd 3.13-3.43, 1 Bi 3.42, 2 In 3.43-3.45
9 In 0.6977 0.9806 0.6240  6 Cd 3.13-3.43, 1 Bi 3.42, 2 In 3.43-3.45
10 In 0.3435 0.2479 0.0651  4 Cd 3.22-3.54, 3 Bi 3.38-3.56, 3 In 3.39-3.54
11 Bi 0.3783 0.4644 0.7790  5 Cd 3.12-3.35, 3 In 3.38-3.42
12 Bi 0.6217 0.5356 0.2210  5 Cd 3.12-3.35, 3 In 3.38-3.42

- V (Å³ per cell) = 326
- space-group type = C2/m (12)
- formation enthalpy at 0 K (eV/f.u.) = 0.56

# 5
Here is a relaxed structure of LiNb2O from Alexandria via LeMat-Bulk. Energies are from PBE-GGA.

Cell lengths 2.8706, 2.8706, 16.8148 Å; angles 90.00, 90.00, 120.00 degrees
Last column: nearest neighbours and their distance in Å.
Positions (direct):
1 Li 0.3333 0.6667 0.2500  6 Li 2.87, 6 Nb 3.10
2 Li 0.6667 0.3333 0.7500  6 Li 2.87, 6 Nb 3.10
3 Nb 0.3333 0.6667 0.5944  3 O 2.29
4 Nb 0.6667 0.3333 0.4056  3 O 2.29
5 Nb 0.6667 0.3333 0.0944  3 O 2.29
6 Nb 0.3333 0.6667 0.9056  3 O 2.29
7 O 0.0000 0.0000 0.0000  6 Nb 2.29
8 O 0.0000 0.0000 0.5000  6 Nb 2.29

- V (Å³ per cell) = 120
- ΔE_f (raw) (meV/atom) = -559.9
- space-group type = P6_3/mmc (194)

# 6
Here is a relaxed structure of Co3Rh5 from Alexandria via LeMat-Bulk. Energies are from PBE-GGA.

Cell lengths 7.1918, 7.1931, 4.9054 Å; angles 90.00, 90.00, 120.01 degrees
Last column: nearest neighbours and their distance in Å.
Positions (direct):
1 Co 0.0000 0.4118 0.7500  9 Rh 2.49-2.79, 2 Co 2.76
2 Co 0.0000 0.5882 0.2500  9 Rh 2.49-2.79, 2 Co 2.76
3 Co 0.4119 0.0000 0.7500  9 Rh 2.49-2.79, 2 Co 2.76
4 Co 0.4119 0.4119 0.2500  9 Rh 2.49-2.79, 2 Co 2.76
5 Co 0.5881 0.0000 0.2500  9 Rh 2.49-2.79, 2 Co 2.76
6 Co 0.5881 0.5881 0.7500  9 Rh 2.49-2.79, 2 Co 2.76
7 Rh 0.0000 0.2268 0.2500  5 Co 2.57-2.79, 2 Rh 2.83
8 Rh 0.0000 0.7732 0.7500  5 Co 2.57-2.79, 2 Rh 2.83
9 Rh 0.2268 0.0000 0.2500  5 Co 2.57-2.79, 2 Rh 2.82-2.83
10 Rh 0.2268 0.2267 0.7500  5 Co 2.57-2.79, 2 Rh 2.82-2.83
11 Rh 0.3334 0.6667 0.0000  2 Rh 2.45, 6 Co 2.49
12 Rh 0.3334 0.6667 0.5000  2 Rh 2.45, 6 Co 2.49
13 Rh 0.6666 0.3333 0.0000  2 Rh 2.45, 6 Co 2.49
14 Rh 0.6666 0.3333 0.5000  2 Rh 2.45, 6 Co 2.49
15 Rh 0.7732 0.0000 0.7500  5 Co 2.57-2.79, 2 Rh 2.82-2.83
16 Rh 0.7732 0.7733 0.2500  5 Co 2.57-2.79, 2 Rh 2.82-2.83

- V (Å³ per cell) = 220
- space-group type = P6_3/mcm (193)
- formation enthalpy at 0 K (eV/f.u.) = 2.18

# 7
Here is a relaxed structure of Ac6PdPb3 from Alexandria via LeMat-Bulk. Energies are from PBE-GGA.

Cell lengths 6.9290, 9.4274, 11.9252 Å; angles 90.00, 90.06, 90.00 degrees
Last column: nearest neighbours and their distance in Å.
Positions (direct):
1 Ac 0.6282 0.1624 0.9309  1 Pd 3.11, 1 Pb 3.41
2 Ac 0.6124 0.1879 0.5639  1 Pd 3.14, 1 Pb 3.31
3 Ac 0.6314 0.4595 0.2640  1 Pd 2.98, 1 Pb 3.30
4 Ac 0.3686 0.5405 0.7360  1 Pd 2.98, 1 Pb 3.30
5 Ac 0.3876 0.8121 0.4361  1 Pd 3.14, 1 Pb 3.31
6 Ac 0.3718 0.8376 0.0691  1 Pd 3.11, 1 Pb 3.41
7 Ac 0.1282 0.3376 0.4309  1 Pd 3.11, 1 Pb 3.41
8 Ac 0.1124 0.3121 0.0639  1 Pd 3.14, 1 Pb 3.31
9 Ac 0.1314 0.0405 0.7640  1 Pd 2.98, 1 Pb 3.30
10 Ac 0.8686 0.9595 0.2360  1 Pd 2.98, 1 Pb 3.30
11 Ac 0.8876 0.6879 0.9361  1 Pd 3.14, 1 Pb 3.31
12 Ac 0.8718 0.6624 0.5691  1 Pd 3.11, 1 Pb 3.41
13 Pd 0.5000 0.5000 0.5000  6 Ac 2.98-3.14
14 Pd 0.0000 0.0000 0.0000  6 Ac 2.98-3.14
15 Pb 0.5852 0.8802 0.7430  6 Ac 3.49-3.61
16 Pb 0.5000 0.5000 0.0000  6 Ac 3.30-3.41
17 Pb 0.4148 0.1198 0.2570  6 Ac 3.49-3.61
18 Pb 0.0852 0.6198 0.2430  6 Ac 3.49-3.61
19 Pb 0.0000 0.0000 0.5000  6 Ac 3.30-3.41
20 Pb 0.9148 0.3802 0.7570  6 Ac 3.49-3.61

- V (Å³ per cell) = 779
- space-group type = P2_1/c (14)
- formation enthalpy at 0 K (eV/f.u.) = -4.45

# 8
Here is a relaxed structure of BeC from Alexandria via LeMat-Bulk. Energies are from PBE-GGA.

Cell lengths 4.9635, 4.9635, 4.9635 Å; angles 151.31, 148.32, 43.26 degrees
Last column: nearest neighbours and their distance in Å.
Positions (direct):
1 Be 0.3646 0.6146 0.2500  6 C 2.01-2.15
2 Be 0.6354 0.3854 0.7500  6 C 2.01-2.15
3 C 0.9541 0.2041 0.2500  2 C 1.49
4 C 0.0459 0.7959 0.7500  2 C 1.49

- V (Å³ per cell) = 31
- space-group type = Imma (74)
- formation enthalpy at 0 K (eV/f.u.) = 1.79
- polymorph energy (0 for the lowest one) (meV per atom) = 574

# 9
Here is a relaxed structure of LiCeErMg from Alexandria via LeMat-Bulk. Energies are from PBE-GGA.

Cell lengths 5.3323, 5.3323, 5.3323 Å; angles 60.00, 60.00, 60.00 degrees
Last column: nearest neighbours and their distance in Å.
Positions (direct):
1 Mg 0.5000 0.5000 0.5000  4 Ce 3.27, 4 Er 3.27
2 Li 0.0000 0.0000 0.0000  4 Er 3.27, 4 Ce 3.27
3 Ce 0.7500 0.7500 0.7500  4 Mg 3.27, 4 Li 3.27
4 Er 0.2500 0.2500 0.2500  4 Li 3.27, 4 Mg 3.27

- V (Å³ per cell) = 107
- space-group type = F-43m (216)
- formation enthalpy at 0 K (eV/f.u.) = 0.53

# 10
Here is a relaxed structure of TlReSb2 from Alexandria via LeMat-Bulk. Energies are from PBE-GGA.

Cell lengths 3.2059, 3.2059, 10.8048 Å; angles 90.00, 90.00, 117.47 degrees
Last column: nearest neighbours and their distance in Å.
Positions (direct):
1 Re 0.5000 0.5000 0.7500  4 Sb 2.72
2 Sb 0.0000 0.0000 0.9492  2 Re 2.72
3 Sb 0.0000 0.0000 0.5508  2 Re 2.72
4 Tl 0.5000 0.5000 0.2500  6 Tl 3.21-3.33

- V (Å³ per cell) = 99
- ΔE_f (raw) (meV/atom) = 500.2
- space-group type = Cmmm (65)
- polymorph energy (0 for the lowest one) (meV per atom) = 281

# 11
Here is a relaxed structure of Au2I3Br6 from Alexandria via LeMat-Bulk. Energies are from PBE-GGA.

Cell lengths 7.6387, 7.9936, 17.4040 Å; angles 97.32, 77.32, 61.46 degrees
Last column: nearest neighbours and their distance in Å.
Positions (direct):
1 Au 0.3690 0.8420 0.0041  2 Br 2.47-2.48
2 Au 0.7849 0.3420 0.5041  2 Br 2.47-2.48
3 Au 0.6310 0.1580 0.9959  2 Br 2.47-2.48
4 Au 0.2151 0.6580 0.4959  2 Br 2.47-2.48
5 I 0.0393 0.9145 0.7525  2 Br 2.73-2.74
6 I 0.4260 0.2500 0.7500  2 Br 2.70
7 I 0.7062 0.5855 0.7475  2 Br 2.73-2.74
8 I 0.2938 0.4145 0.2525  2 Br 2.73-2.74
9 I 0.9607 0.0855 0.2475  2 Br 2.73-2.74
10 I 0.5740 0.7500 0.2500  2 Br 2.70
11 Br 0.9745 0.8694 0.9077  1 Au 2.47, 1 I 2.74
12 Br 0.3688 0.1785 0.8983  1 I 2.70, 1 Au 2.86
13 Br 0.6721 0.5377 0.9018  1 Au 2.48, 1 I 2.73
14 Br 0.2485 0.3694 0.4077  1 Au 2.47, 1 I 2.74
15 Br 0.8884 0.0377 0.4018  1 Au 2.48, 1 I 2.73
16 Br 0.5543 0.6785 0.3983  1 I 2.70, 1 Au 2.86
17 Br 0.0255 0.1306 0.0923  1 Au 2.47, 1 I 2.74
18 Br 0.6312 0.8215 0.1017  1 I 2.70, 1 Au 2.86
19 Br 0.3279 0.4623 0.0982  1 Au 2.48, 1 I 2.73
20 Br 0.7515 0.6306 0.5923  1 Au 2.47, 1 I 2.74
21 Br 0.1116 0.9623 0.5982  1 Au 2.48, 1 I 2.73
22 Br 0.4457 0.3215 0.6017  1 I 2.70, 1 Au 2.86

- V (Å³ per cell) = 877
- ΔE_f (raw) (meV/atom) = -25.4
- space-group type = C2/c (15)

# 12
Here is a relaxed structure of LiDyHfS4 from Alexandria via LeMat-Bulk. Energies are from PBE-GGA.

Cell lengths 7.5094, 7.7252, 7.7252 Å; angles 61.40, 60.92, 60.92 degrees
Last column: nearest neighbours and their distance in Å.
Positions (direct):
1 Li 0.6221 0.6279 0.1279  4 S 2.44-2.58
2 Li 0.3779 0.3721 0.8721  4 S 2.44-2.58
3 Dy 0.0000 0.0000 0.0000  6 S 2.72-2.75
4 Dy 0.0000 0.5000 0.5000  6 S 2.72-2.75
5 Hf 0.5000 0.0000 0.5000  6 S 2.54-2.58
6 Hf 0.0000 0.0000 0.5000  6 S 2.54-2.58
7 S 0.7498 0.7754 0.7250  2 Hf 2.58, 1 Li 2.58, 1 Dy 2.75
8 S 0.2502 0.7750 0.7246  2 Hf 2.58, 1 Li 2.58, 1 Dy 2.75
9 S 0.7498 0.2250 0.2754  2 Hf 2.58, 1 Li 2.58, 1 Dy 2.75
10 S 0.2502 0.2246 0.2750  2 Hf 2.58, 1 Li 2.58, 1 Dy 2.75
11 S 0.2295 0.7679 0.2679  1 Li 2.44, 1 Hf 2.54, 2 Dy 2.72
12 S 0.7346 0.7679 0.2679  1 Li 2.44, 1 Hf 2.54, 2 Dy 2.72
13 S 0.2654 0.2321 0.7321  1 Li 2.44, 1 Hf 2.54, 2 Dy 2.72
14 S 0.7705 0.2321 0.7321  1 Li 2.44, 1 Hf 2.54, 2 Dy 2.72

- V (Å³ per cell) = 325
- ΔE_f (raw) (meV/atom) = -1738.1
- space-group type = Imma (74)